Record 1
Entry from Alexandria: a relaxed Pm6SmY crystal (PBE). Values from VASP.

Values from the calculation:
The value obtained for the energy above the most stable polymorph in this dataset is 0.003 eV per atom. The space group is No. 123. The mass density comes out at 6.8 Mg/m³. The density of states at the Fermi level comes out at 1.630 states/eV/atom. Its calculated total energy is -4.94 eV/atom.

```
&SYSTEM
  ibrav = 0, nat = 8, ntyp = 3
/
ATOMIC_SPECIES
Pm 145.00 Pm.upf
Sm 150.36 Sm.upf
Y 88.91 Y.upf
CELL_PARAMETERS angstrom
-1.616 -3.749 -3.134
0.946 -3.479 3.674
-9.573 1.153 3.556
ATOMIC_POSITIONS crystal
Pm 0.500 0.000 0.750
Pm 0.000 0.500 0.750
Pm 0.000 0.500 0.250
Pm 0.500 0.000 0.250
Pm 0.500 0.500 0.500
Pm 0.500 0.500 0.000
Sm 0.000 0.000 0.000
Y 0.000 0.000 0.500
```

=====

Record 2
Entry from Alexandria: a relaxed Pm2SmY5 crystal (PBE). Values from VASP.

Values from the calculation:
The value obtained for the energy above the most stable polymorph in this dataset is 0.133 eV per atom. The space group is No. 15. The mass density comes out at 5.5 Mg/m³. The density of states at the Fermi level comes out at 1.615 states/eV/atom. Its calculated total energy is -5.67 eV/atom.

```
&SYSTEM
  ibrav = 0, nat = 16, ntyp = 3
/
ATOMIC_SPECIES
Pm 145.00 Pm.upf
Y 88.91 Y.upf
Sm 150.36 Sm.upf
CELL_PARAMETERS angstrom
9.168 0.000 -3.922
-1.012 6.055 -2.366
-0.830 -1.775 10.737
ATOMIC_POSITIONS crystal
Pm 0.175 0.462 0.842
Pm 0.825 0.538 0.158
Pm 0.333 0.038 0.158
Pm 0.667 0.962 0.842
Y 0.891 0.629 0.605
Y 0.714 0.129 0.605
Y 0.109 0.371 0.395
Y 0.689 0.053 0.198
Y 0.491 0.447 0.802
Y 0.286 0.871 0.395
Y 0.059 0.250 0.000
Y 0.311 0.947 0.802
Y 0.509 0.553 0.198
Y 0.941 0.750 0.000
Sm 0.000 0.000 0.500
Sm 0.500 0.500 0.500
```

=====

Record 3
Entry from Alexandria: a relaxed Pm6SmY12 crystal (PBE). Values from VASP.

Values from the calculation:
The value obtained for the energy above the most stable polymorph in this dataset is 0.093 eV per atom. The space group is No. 166. The mass density comes out at 5.5 Mg/m³. The density of states at the Fermi level comes out at 1.671 states/eV/atom. Its calculated total energy is -5.72 eV/atom.

```
&SYSTEM
  ibrav = 0, nat = 19, ntyp = 3
/
ATOMIC_SPECIES
Y 88.91 Y.upf
Pm 145.00 Pm.upf
Sm 150.36 Sm.upf
CELL_PARAMETERS angstrom
-2.951 1.555 8.052
-7.387 -4.622 -0.146
2.642 -7.257 4.038
ATOMIC_POSITIONS crystal
Y 0.483 0.137 0.137
Y 0.483 0.483 0.804
Y 0.483 0.804 0.483
Y 0.137 0.483 0.137
Y 0.137 0.137 0.483
Y 0.196 0.517 0.517
Y 0.517 0.196 0.517
Y 0.863 0.863 0.517
Y 0.517 0.517 0.196
Y 0.863 0.517 0.863
Y 0.517 0.863 0.863
Y 0.804 0.483 0.483
Pm 0.229 0.229 0.836
Pm 0.229 0.836 0.229
Pm 0.771 0.164 0.771
Pm 0.836 0.229 0.229
Pm 0.771 0.771 0.164
Pm 0.164 0.771 0.771
Sm 0.000 0.000 0.000
```

=====

Record 4
Entry from Alexandria: a relaxed Pm4Sm3Y crystal (PBE). Values from VASP.

Values from the calculation:
The value obtained for the energy above the most stable polymorph in this dataset is 0.124 eV per atom. The space group is No. 12. The mass density comes out at 6.8 Mg/m³. The density of states at the Fermi level comes out at 1.725 states/eV/atom. Its calculated total energy is -4.80 eV/atom.

```
&SYSTEM
  ibrav = 0, nat = 8, ntyp = 3
/
ATOMIC_SPECIES
Pm 145.00 Pm.upf
Y 88.91 Y.upf
Sm 150.36 Sm.upf
CELL_PARAMETERS angstrom
3.495 0.000 -0.441
-0.175 6.745 -1.385
-0.270 -1.064 11.932
ATOMIC_POSITIONS crystal
Pm 0.741 0.241 0.482
Pm 0.259 0.759 0.518
Pm 0.124 0.366 0.248
Pm 0.876 0.634 0.752
Y 0.500 0.000 0.000
Sm 0.876 0.117 0.752
Sm 0.000 0.500 0.000
Sm 0.124 0.883 0.248
```

=====

Record 5
Entry from Alexandria: a relaxed Pm7SmY12 crystal (PBE). Values from VASP.

Values from the calculation:
The value obtained for the energy above the most stable polymorph in this dataset is 0.396 eV per atom. The space group is No. 229. The mass density comes out at 5.1 Mg/m³. The density of states at the Fermi level comes out at 1.378 states/eV/atom. Its calculated total energy is -5.15 eV/atom.

```
&SYSTEM
  ibrav = 0, nat = 20, ntyp = 3
/
ATOMIC_SPECIES
Y 88.91 Y.upf
Pm 145.00 Pm.upf
Sm 150.36 Sm.upf
CELL_PARAMETERS angstrom
1.886 -5.033 -8.215
2.340 -5.478 7.803
-9.547 2.261 0.334
ATOMIC_POSITIONS crystal
Y 0.499 0.249 0.250
Y 0.250 0.000 0.751
Y 0.751 0.750 0.501
Y 0.000 0.751 0.250
Y 0.750 0.000 0.249
Y 0.250 0.499 0.249
Y 0.501 0.751 0.750
Y 0.000 0.249 0.750
Y 0.249 0.750 0.000
Y 0.751 0.250 0.000
Y 0.249 0.250 0.499
Y 0.750 0.501 0.751
Pm 0.500 0.000 0.500
Pm 0.500 0.500 0.500
Pm 0.000 0.500 0.500
Pm 0.500 0.500 0.000
Pm 0.000 0.500 0.000
Pm 0.500 0.000 0.000
Pm 0.000 0.000 0.500
Sm 0.000 0.000 0.000
```

=====

Record 6
Entry from Alexandria: a relaxed PmSm5Y crystal (PBE). Values from VASP.

Values from the calculation:
The value obtained for the energy above the most stable polymorph in this dataset is 0.009 eV per atom. The space group is No. 15. The mass density comes out at 6.9 Mg/m³. The density of states at the Fermi level comes out at 1.321 states/eV/atom. Its calculated total energy is -4.80 eV/atom.

```
&SYSTEM
  ibrav = 0, nat = 14, ntyp = 3
/
ATOMIC_SPECIES
Sm 150.36 Sm.upf
Pm 145.00 Pm.upf
Y 88.91 Y.upf
CELL_PARAMETERS angstrom
6.784 0.633 1.126
2.753 6.232 1.126
4.261 3.068 12.768
ATOMIC_POSITIONS crystal
Sm 0.394 0.165 0.752
Sm 0.835 0.606 0.748
Sm 0.606 0.835 0.248
Sm 0.345 0.309 0.002
Sm 0.309 0.345 0.502
Sm 0.828 0.172 0.750
Sm 0.691 0.655 0.498
Sm 0.165 0.394 0.252
Sm 0.655 0.691 0.998
Sm 0.172 0.828 0.250
Pm 0.000 0.000 0.500
Pm 0.000 0.000 0.000
Y 0.275 0.725 0.750
Y 0.725 0.275 0.250
```

=====

Record 7
Entry from Alexandria: a relaxed PmSmY2 crystal (PBE). Values from VASP.

Values from the calculation:
The value obtained for the energy above the most stable polymorph in this dataset is 0.006 eV per atom. The space group is No. 123. The mass density comes out at 5.9 Mg/m³. The density of states at the Fermi level comes out at 1.451 states/eV/atom. Its calculated total energy is -5.58 eV/atom.

```
&SYSTEM
  ibrav = 0, nat = 4, ntyp = 3
/
ATOMIC_SPECIES
Pm 145.00 Pm.upf
Y 88.91 Y.upf
Sm 150.36 Sm.upf
CELL_PARAMETERS angstrom
-2.165 -1.980 -2.099
1.468 -3.015 1.330
-7.011 -0.159 7.381
ATOMIC_POSITIONS crystal
Pm 0.500 0.500 0.000
Y 0.000 0.000 0.251
Y 0.000 0.000 0.749
Sm 0.500 0.500 0.500
```

=====

Record 8
Entry from Alexandria: a relaxed Pm3SmY3 crystal (PBE). Values from VASP.

Values from the calculation:
The value obtained for the energy above the most stable polymorph in this dataset is 0.065 eV per atom. The space group is No. 160. The mass density comes out at 5.9 Mg/m³. The density of states at the Fermi level comes out at 1.588 states/eV/atom. Its calculated total energy is -5.26 eV/atom.

```
&SYSTEM
  ibrav = 0, nat = 7, ntyp = 3
/
ATOMIC_SPECIES
Y 88.91 Y.upf
Pm 145.00 Pm.upf
Sm 150.36 Sm.upf
CELL_PARAMETERS angstrom
-0.746 -7.262 3.906
-2.000 0.079 -6.084
5.962 2.300 -0.436
ATOMIC_POSITIONS crystal
Y 0.417 0.401 0.000
Y 0.417 0.000 0.401
Y 0.016 0.599 0.599
Pm 0.615 0.642 0.642
Pm 0.973 0.358 0.000
Pm 0.973 0.000 0.358
Sm 0.564 0.000 0.000
```